# 1
The following is a DFT calculation (PBE) of Tb12Pr6Ho after structural relaxation.

a b c (Å): 8.810 8.810 8.810
angles (deg): 98.79 98.79 98.79
Atoms (fractional coordinates):
Tb  0.000  0.257  0.743
Tb  0.000  0.743  0.257
Tb  0.144  0.144  0.418
Tb  0.144  0.418  0.144
Tb  0.257  0.000  0.743
Tb  0.257  0.743  0.000
Tb  0.418  0.144  0.144
Tb  0.582  0.856  0.856
Tb  0.743  0.000  0.257
Tb  0.743  0.257  0.000
Tb  0.856  0.582  0.856
Tb  0.856  0.856  0.582
Pr  0.158  0.596  0.596
Pr  0.404  0.404  0.842
Pr  0.404  0.842  0.404
Pr  0.596  0.158  0.596
Pr  0.596  0.596  0.158
Pr  0.842  0.404  0.404
Ho  0.500  0.500  0.500

ΔE_f (eV/atom): 0.212
Uncorrected energy (eV/cell): -84.8
Calculated volume (Å³ per cell): 656.77

=====

# 2
The following is a DFT calculation (PBE) of Pm2Nd3Ho after structural relaxation.

a b c (Å): 6.779 18.005 3.437
angles (deg): 90.00 90.00 90.00
Atoms (fractional coordinates):
Pm  0.233  0.149  0.000
Pm  0.267  0.649  0.500
Pm  0.733  0.351  0.500
Pm  0.767  0.851  0.000
Nd  0.000  0.000  0.500
Nd  0.238  0.319  0.500
Nd  0.262  0.819  0.000
Nd  0.500  0.500  0.000
Nd  0.738  0.181  0.000
Nd  0.762  0.681  0.500
Ho  0.000  0.500  0.500
Ho  0.500  0.000  0.000

ΔE_f (eV/atom): 0.246
Uncorrected energy (eV/cell): -53.8
Calculated volume (Å³ per cell): 419.52

=====

# 3
The following is a DFT calculation (PBE) of Y2ErMg4 after structural relaxation.

a b c (Å): 8.934 8.934 8.934
angles (deg): 143.97 143.97 51.86
Atoms (fractional coordinates):
Y  0.104  0.104  0.000
Y  0.896  0.896  0.000
Er  0.500  0.500  0.000
Mg  0.000  0.500  0.500
Mg  0.312  0.312  0.000
Mg  0.500  0.000  0.500
Mg  0.688  0.688  0.000

ΔE_f (eV/atom): 0.595
Uncorrected energy (eV/cell): -19.7
Calculated volume (Å³ per cell): 245.26

=====

# 4
The following is a DFT calculation (PBE) of NaSF2 after structural relaxation.

a b c (Å): 5.319 5.319 5.319
angles (deg): 108.39 108.39 111.66
Atoms (fractional coordinates):
Na  0.000  0.000  0.000
Na  0.750  0.250  0.500
S  0.250  0.750  0.500
S  0.500  0.500  0.000
F  0.132  0.625  0.007
F  0.375  0.382  0.507
F  0.618  0.125  0.993
F  0.875  0.868  0.493

Uncorrected energy (eV/cell): -26.2
Formation energy without anion corrections (eV/atom): -0.975
Calculated volume (Å³ per cell): 115.74

=====

# 5
The following is a DFT calculation (PBE) of ScTlF4 after structural relaxation.

a b c (Å): 7.438 7.438 5.851
angles (deg): 104.44 104.44 42.89
Atoms (fractional coordinates):
Sc  0.000  0.500  0.000
Sc  0.500  0.000  0.500
Tl  0.246  0.754  0.750
Tl  0.754  0.246  0.250
F  0.189  0.234  0.706
F  0.234  0.189  0.206
F  0.262  0.521  0.071
F  0.479  0.738  0.429
F  0.521  0.262  0.571
F  0.738  0.479  0.929
F  0.766  0.811  0.794
F  0.811  0.766  0.294

Uncorrected energy (eV/cell): -71.6
Formation energy without anion corrections (eV/atom): -3.270
Calculated volume (Å³ per cell): 212.25

=====

# 6
The following is a DFT calculation (PBE) of CaSbTe2Cl after structural relaxation.

a b c (Å): 5.699 5.699 5.988
angles (deg): 90.00 90.00 90.00
Atoms (fractional coordinates):
Ca  0.000  0.000  0.000
Sb  0.000  0.000  0.500
Te  0.000  0.500  0.000
Te  0.500  0.000  0.000
Cl  0.500  0.500  0.500

Uncorrected energy (eV/cell): -13.1
Formation energy without anion corrections (eV/atom): 0.230
Calculated volume (Å³ per cell): 194.46

=====

# 7
The following is a DFT calculation (PBE) of Sc2TaGa after structural relaxation.

a b c (Å): 6.092 6.092 6.092
angles (deg): 102.26 102.26 125.12
Atoms (fractional coordinates):
Sc  0.103  0.125  0.478
Sc  0.375  0.897  0.022
Sc  0.647  0.625  0.522
Sc  0.875  0.353  0.978
Ta  0.250  0.750  0.500
Ta  0.500  0.500  0.000
Ga  0.000  0.000  0.000
Ga  0.750  0.250  0.500

ΔE_f (eV/atom): 0.293
Uncorrected energy (eV/cell): -52.7
Calculated volume (Å³ per cell): 164.11

=====

# 8
The following is a DFT calculation (PBE) of CrReOs after structural relaxation.

a b c (Å): 4.227 4.227 2.693
angles (deg): 90.00 90.00 120.00
Atoms (fractional coordinates):
Cr  0.000  0.000  0.000
Re  0.667  0.333  0.000
Os  0.333  0.667  0.500

ΔE_f (eV/atom): 0.156
Uncorrected energy (eV/cell): -32.8
Calculated volume (Å³ per cell): 41.67

=====

# 9
The following is a DFT calculation (PBE) of Na2OsO5 after structural relaxation.

a b c (Å): 6.235 6.235 10.897
angles (deg): 90.00 90.00 144.35
Atoms (fractional coordinates):
Na  0.138  0.862  0.562
Na  0.138  0.862  0.938
Na  0.862  0.138  0.062
Na  0.862  0.138  0.438
Os  0.155  0.845  0.250
Os  0.845  0.155  0.750
O  0.046  0.954  0.132
O  0.046  0.954  0.368
O  0.265  0.735  0.128
O  0.265  0.735  0.372
O  0.340  0.660  0.750
O  0.660  0.340  0.250
O  0.735  0.265  0.628
O  0.735  0.265  0.872
O  0.954  0.046  0.632
O  0.954  0.046  0.868

Uncorrected energy (eV/cell): -96.5
Formation energy without anion corrections (eV/atom): -1.199
Calculated volume (Å³ per cell): 246.91

=====

# 10
The following is a DFT calculation (PBE) of LaTbY after structural relaxation.

a b c (Å): 6.494 6.494 6.494
angles (deg): 142.16 142.16 54.59
Atoms (fractional coordinates):
La  0.000  0.000  0.000
Tb  0.325  0.325  0.000
Y  0.673  0.673  0.000

ΔE_f (eV/atom): 0.103
Uncorrected energy (eV/cell): -15.7
Calculated volume (Å³ per cell): 102.35

=====

# 11
The following is a DFT calculation (PBE) of LaPm2SmTm after structural relaxation.

a b c (Å): 8.577 6.517 6.312
angles (deg): 90.00 96.50 90.00
Atoms (fractional coordinates):
La  0.000  0.000  0.000
La  0.000  0.000  0.500
Pm  0.314  0.312  0.214
Pm  0.314  0.688  0.714
Pm  0.686  0.312  0.286
Pm  0.686  0.688  0.786
Sm  0.000  0.441  0.750
Sm  0.000  0.559  0.250
Tm  0.500  0.167  0.750
Tm  0.500  0.833  0.250

ΔE_f (eV/atom): 0.275
Uncorrected energy (eV/cell): -44.5
Calculated volume (Å³ per cell): 350.54

=====

# 12
The following is a DFT calculation (PBE) of Ca3Cr after structural relaxation.

a b c (Å): 6.435 6.435 6.435
angles (deg): 90.00 90.00 90.00
Atoms (fractional coordinates):
Ca  0.000  0.250  0.500
Ca  0.000  0.750  0.500
Ca  0.250  0.500  0.000
Ca  0.500  0.000  0.250
Ca  0.500  0.000  0.750
Ca  0.750  0.500  0.000
Cr  0.000  0.000  0.000
Cr  0.500  0.500  0.500

ΔE_f (eV/atom): 0.419
Uncorrected energy (eV/cell): -27.9
Calculated volume (Å³ per cell): 266.46